Record 1
Compound: SiSb2Br
Source: the Alexandria database
Functional: PBE
Structure: relaxed

Cell lengths 4.7243, 4.9962, 5.5373 Å; angles 62.14, 90.00, 90.00 degrees
Fractional positions:
Br (0.5000, 0.7500, 0.7500)
Sb (0.0000, 0.4160, 0.4254)
Sb (0.0000, 0.0840, 0.0746)
Si (0.5000, 0.2500, 0.2500)

Values from the calculation:
spin magnetization: 0.000 μB per atom
E_form (uncorrected): 0.102 eV per atom
distance to the lowest polymorph of the same formula: 0.5 kJ/mol of atoms
density of states at the Fermi level: 0.693 states/eV/f.u.

Record 2
Compound: Tm2CoNi
Source: the Alexandria database
Functional: PBE
Structure: relaxed

Cell lengths 4.6731, 4.6731, 4.6731 Å; angles 60.00, 60.00, 60.00 degrees
Fractional positions:
Co (0.5000, 0.5000, 0.5000)
Tm (0.2500, 0.2500, 0.2500)
Tm (0.7500, 0.7500, 0.7500)
Ni (0.0000, 0.0000, 0.0000)

Values from the calculation:
spin magnetization: 0.001 μB per atom
distance to the lowest polymorph of the same formula: 3.5 kJ/mol of atoms
density of states at the Fermi level: 2.258 states/eV/f.u.
calculated formation energy: -0.33 eV per atom

Record 3
Compound: Pm2Ga4Ni3Au
Source: the Alexandria database
Functional: PBE
Structure: relaxed

Cell lengths 4.1512, 4.1512, 10.3381 Å; angles 90.00, 90.00, 90.00 degrees
Fractional positions:
Ni (0.5000, 0.0000, 0.8739)
Ni (0.0000, 0.0000, 0.5000)
Ni (0.0000, 0.5000, 0.1261)
Ga (0.0000, 0.5000, 0.3557)
Ga (0.5000, 0.0000, 0.6443)
Ga (0.0000, 0.0000, 0.0000)
Ga (0.5000, 0.5000, 0.0000)
Au (0.5000, 0.5000, 0.5000)
Pm (0.5000, 0.0000, 0.2375)
Pm (0.0000, 0.5000, 0.7625)

Values from the calculation:
spin magnetization: 0.000 μB per atom
density of states at the Fermi level: 7.893 states/eV/f.u.
calculated formation energy: -0.58 eV per atom

Record 4
Compound: RbTaMn2Au
Source: the Alexandria database
Functional: PBE
Structure: relaxed

Cell lengths 5.1044, 5.7147, 5.1044 Å; angles 90.00, 90.00, 90.00 degrees
Site moments in Bohr magnetons follow the coordinates.
Fractional positions:
Mn (0.5000, 0.0000, 0.0000)  4.14
Mn (0.0000, 0.0000, 0.5000)  4.18
Ta (0.5000, 0.5000, 0.5000)  -2.22
Rb (0.0000, 0.5000, 0.0000)  -0.05
Au (0.0000, 0.0000, 0.0000)  0.10

Values from the calculation:
spin magnetization: 1.052 μB per atom
density of states at the Fermi level: 4.814 states/eV/f.u.
calculated formation energy: 1.71 eV per atom

> What is the formula in the first record?

SiSb2Br